[1]
The following is a GGA-PBE calculation of TaSI after structural relaxation, from Alexandria via LeMat-Bulk.

Cell: 8.9963 6.1826 6.9894 Å, 90.00 98.33 90.00°
Space group P2_1/c (No. 14)
One atom of each set of equivalent atoms:
Ta: 0.0783 0.1442 0.4067 (multiplicity 4)
S: 0.0999 0.7406 0.8692 (multiplicity 4)
I: 0.3133 0.1600 0.1580 (multiplicity 4)

- Formation energy (no corrections): -0.49 eV/atom
- Electronic total energy: -6.338 eV/atom

---

[2]
The following is a GGA-PBE calculation of Hf2BW after structural relaxation, from Alexandria via LeMat-Bulk.

Cell: 8.3285 8.3285 4.2851 Å, 90.00 90.00 90.00°
Space group I-42d (No. 122)
One atom of each set of equivalent atoms:
Hf: 0.1172 0.2500 0.1250 (multiplicity 8)
B: 0.0000 0.0000 0.0000 (multiplicity 4)
W: 0.0000 0.0000 0.5000 (multiplicity 4)

- Electronic total energy: -9.502 eV/atom
- Calculated formation energy: 148 kJ/mol of formula units

---

[3]
The following is a GGA-PBE calculation of LaTe after structural relaxation, from Alexandria via LeMat-Bulk.

Cell: 14.5376 4.0936 8.0268 Å, 90.00 91.76 90.00°
Space group Cm (No. 8)
One atom of each set of equivalent atoms:
La: 0.0000 0.0000 0.0000 (multiplicity 2)
La: 0.0451 0.0000 0.4483 (multiplicity 2)
La: 0.2552 0.0000 0.9535 (multiplicity 2)
Te: 0.1128 0.5000 0.7389 (multiplicity 2)
Te: 0.1525 0.5000 0.2058 (multiplicity 2)
Te: 0.3963 0.0000 0.2678 (multiplicity 2)

- Formation energy (no corrections): -1.20 eV/atom
- Electronic total energy: -5.230 eV/atom

---

[4]
The following is a GGA-PBE calculation of SrBePt3 after structural relaxation, from Alexandria via LeMat-Bulk.

Cell: 5.5533 11.6573 5.5480 Å, 90.00 90.00 90.00°
Space group Cmc2_1 (No. 36)
One atom of each set of equivalent atoms:
Sr: 0.0000 0.0922 0.0000 (multiplicity 4)
Be: 0.0000 0.3084 0.6539 (multiplicity 4)
Pt: 0.0000 0.4990 0.2361 (multiplicity 4)
Pt: 0.2497 0.1683 0.4941 (multiplicity 8)

- Electronic total energy: -5.385 eV/atom
- Calculated formation energy: -328 kJ/mol of formula units
- Relative energy among the computed polymorphs: 65.2 meV per atom

---

[5]
The following is a GGA-PBE calculation of Rb2NaTeF after structural relaxation, from Alexandria via LeMat-Bulk.

Cell: 5.5309 5.5309 5.0810 Å, 90.00 90.00 90.00°
Space group P4/mmm (No. 123)
One atom of each set of equivalent atoms:
Rb: 0.0000 0.5000 0.0000 (multiplicity 2)
Na: 0.0000 0.0000 0.5000 (multiplicity 1)
Te: 0.5000 0.5000 0.5000 (multiplicity 1)
F: 0.0000 0.0000 0.0000 (multiplicity 1)

- Formation energy (no corrections): -1.59 eV/atom
- Electronic total energy: -3.243 eV/atom
- Relative energy among the computed polymorphs: 0.0 meV per atom

---

[6]
The following is a GGA-PBE calculation of MgTl2Cd2 after structural relaxation, from Alexandria via LeMat-Bulk.

Cell: 10.7334 3.5954 7.8248 Å, 90.00 121.34 90.00°
Space group C2/m (No. 12)
One atom of each set of equivalent atoms:
Mg: 0.0000 0.0000 0.0000 (multiplicity 2)
Tl: 0.0910 0.5000 0.3880 (multiplicity 4)
Cd: 0.2150 0.0000 0.8214 (multiplicity 4)

- Electronic total energy: -1.615 eV/atom
- Calculated formation energy: 8 kJ/mol of formula units
- Relative energy among the computed polymorphs: 0.0 meV per atom

---

[7]
The following is a GGA-PBE calculation of YAlPd4 after structural relaxation, from Alexandria via LeMat-Bulk.

Cell: 17.4422 4.7065 5.3205 Å, 90.00 107.64 90.00°
Space group C2/m (No. 12)
One atom of each set of equivalent atoms:
Y: 0.2502 0.0000 0.2179 (multiplicity 4)
Al: 0.0000 0.0000 0.5000 (multiplicity 2)
Al: 0.0000 0.5000 0.0000 (multiplicity 2)
Pd: 0.0772 0.0000 0.9848 (multiplicity 4)
Pd: 0.0770 0.5000 0.6693 (multiplicity 4)
Pd: 0.1539 0.0000 0.5667 (multiplicity 4)
Pd: 0.1540 0.5000 0.2406 (multiplicity 4)

- Electronic total energy: -5.871 eV/atom
- Calculated formation energy: -410 kJ/mol of formula units

---

[8]
The following is a GGA-PBE calculation of LiGaAuF6 after structural relaxation, from Alexandria via LeMat-Bulk.

Cell: 5.2282 5.2282 9.6207 Å, 90.00 90.00 120.00°
Space group P-31c (No. 163)
One atom of each set of equivalent atoms:
Li: 0.3333 0.6667 0.2500 (multiplicity 2)
Ga: 0.3333 0.6667 0.7500 (multiplicity 2)
Au: 0.0000 0.0000 0.0000 (multiplicity 2)
F: 0.0168 0.3686 0.6400 (multiplicity 12)

- Formation energy (no corrections): -2.05 eV/atom
- Electronic total energy: -4.213 eV/atom